# 1
La3Nb8O24 PBEsol optimized geometry; uncorrected formation energy = -2.808 eV per atom; raw total energy = -326.880 eV for the cell shown; SG = C2/m, No. 12; volume = 495 Å³/f.u.
1.0
7.897 -3.929 0.000
7.897 3.929 0.000
-3.941 0.000 7.984
La Nb O
3 8 24
Cartesian
0.000 0.000 0.000
-0.070 0.000 7.981
11.923 0.000 0.003
2.012 1.944 5.917
5.946 1.933 2.073
5.908 1.933 5.911
9.842 1.944 2.067
2.012 -1.944 5.917
5.946 -1.933 2.073
5.908 -1.933 5.911
9.842 -1.944 2.067
1.978 1.965 3.992
3.947 1.969 1.698
-1.904 0.000 5.945
5.936 2.277 0.006
3.959 2.057 6.126
2.035 0.000 1.958
5.927 1.748 3.992
7.895 2.057 1.858
1.900 0.000 6.277
5.918 2.277 7.977
5.829 0.000 1.646
7.907 1.969 6.286
1.978 -1.965 3.992
3.947 -1.969 1.698
6.025 0.000 6.337
5.936 -2.277 0.006
9.954 0.000 1.707
3.959 -2.057 6.126
5.927 -1.748 3.992
9.819 0.000 6.026
7.895 -2.057 1.858
5.918 -2.277 7.977
13.758 0.000 2.039
7.907 -1.969 6.286

# 2
LaNbO2 PBEsol optimized geometry; uncorrected formation energy = -1.570 eV per atom; raw total energy = -131.780 eV for the cell shown; SG = Fm-3m, No. 225; volume = 52 Å³/f.u.
1.0
5.931 0.000 0.000
0.000 5.931 0.000
0.000 0.000 5.931
La Nb O
4 4 8
Cartesian
0.000 0.000 0.000
0.000 2.966 2.966
2.966 0.000 2.966
2.966 2.966 0.000
0.000 0.000 2.966
0.000 2.966 0.000
2.966 0.000 0.000
2.966 2.966 2.966
1.483 1.483 1.483
1.483 1.483 4.448
1.483 4.448 1.483
1.483 4.448 4.448
4.448 1.483 1.483
4.448 1.483 4.448
4.448 4.448 1.483
4.448 4.448 4.448

# 3
LaNbP2O PBEsol optimized geometry; uncorrected formation energy = 0.377 eV per atom; raw total energy = -31.115 eV for the cell shown; SG = P4/mmm, No. 123; volume = 112 Å³/f.u.
1.0
5.291 0.000 0.000
0.000 5.291 0.000
0.000 0.000 4.017
La Nb P O
1 1 2 1
Cartesian
0.000 0.000 0.000
2.646 2.646 2.009
0.000 2.646 0.000
2.646 0.000 0.000
0.000 0.000 2.009

# 4
RbLaNb2O7 PBEsol optimized geometry; uncorrected formation energy = -2.766 eV per atom; raw total energy = -190.362 eV for the cell shown; SG = Imma, No. 74; volume = 168 Å³/f.u.
1.0
-2.746 11.042 2.774
2.746 -11.042 2.774
2.746 11.042 -2.774
Rb La Nb O
2 2 4 14
Cartesian
0.000 0.000 0.000
0.000 11.042 0.000
0.000 5.521 0.077
2.746 5.521 2.697
2.746 3.259 -0.031
2.746 7.783 -0.031
0.000 3.259 2.805
0.000 7.783 2.805
2.746 1.489 -0.330
1.373 7.124 -1.387
1.373 -3.917 1.387
2.746 5.521 0.374
2.746 9.553 -0.330
1.373 14.470 -1.387
1.373 3.428 1.387
-1.373 7.614 1.387
1.373 7.614 1.387
0.000 1.489 3.103
0.000 5.521 2.399
-1.373 14.959 1.387
1.373 14.959 1.387
0.000 9.553 3.103

# 5
Sr2LaTi2Nb3O15 PBEsol optimized geometry; uncorrected formation energy = -2.940 eV per atom; raw total energy = -408.992 eV for the cell shown; SG = Pbam, No. 55; volume = 301 Å³/f.u.
1.0
12.356 0.000 0.000
0.000 12.429 0.000
0.000 0.000 3.924
Sr La Ti Nb O
4 2 4 6 30
Cartesian
2.555 1.506 0.000
3.622 7.720 0.000
8.733 4.709 0.000
9.800 10.923 0.000
0.000 6.214 0.000
6.178 0.000 0.000
2.554 5.149 1.962
3.624 11.364 1.962
8.732 1.065 1.962
9.802 7.280 1.962
0.000 0.000 1.962
0.980 8.899 1.962
5.198 2.685 1.962
6.178 6.214 1.962
7.158 9.744 1.962
11.376 3.529 1.962
0.000 0.000 0.000
0.211 2.002 1.962
0.674 4.707 1.962
1.045 8.671 0.000
1.819 7.066 1.962
1.966 12.361 1.962
2.409 5.340 0.000
2.837 9.619 1.962
3.341 3.405 1.962
3.769 11.555 0.000
4.212 6.147 1.962
4.359 0.852 1.962
5.133 2.457 0.000
5.504 10.921 1.962
5.966 8.216 1.962
6.178 6.214 0.000
6.389 4.212 1.962
6.852 1.508 1.962
7.223 9.972 0.000
7.997 11.577 1.962
8.143 6.282 1.962
8.587 0.874 0.000
9.015 9.024 1.962
9.519 2.810 1.962
9.947 7.088 0.000
10.390 0.067 1.962
10.536 5.362 1.962
11.311 3.757 0.000
11.682 7.722 1.962
12.144 10.427 1.962

# 6
LaTiNbO6 PBEsol optimized geometry; polymorph energy (0 for the lowest one) = 0.19 eV/f.u.; uncorrected formation energy = -3.067 eV per atom; raw total energy = -167.179 eV for the cell shown; SG = C2, No. 5; volume = 117 Å³/f.u.
1.0
5.545 -4.409 0.000
5.545 4.409 0.000
-2.234 0.000 4.781
La Ti Nb O
2 2 2 12
Cartesian
0.000 0.000 0.000
4.429 -1.153 2.390
1.144 0.883 3.841
7.713 0.883 0.940
2.317 2.330 1.488
6.540 2.330 3.293
2.389 2.332 3.454
-0.193 -0.620 3.695
3.524 0.851 1.008
6.468 2.332 1.326
2.330 -0.510 3.441
5.333 0.851 3.773
3.792 -2.457 0.447
6.527 -0.510 1.340
2.691 -3.129 2.825
5.065 -2.457 4.334
9.050 -0.620 1.086
6.166 -3.129 1.956

# 7
LaTiNbO6 PBEsol optimized geometry; polymorph energy (0 for the lowest one) = 0.00 eV/f.u.; uncorrected formation energy = -3.088 eV per atom; raw total energy = -335.127 eV for the cell shown; SG = Pna2_1, No. 33; volume = 112 Å³/f.u.
1.0
11.008 0.000 0.000
0.000 5.418 0.000
0.000 0.000 7.541
La Ti Nb O
4 4 4 24
Cartesian
0.461 0.236 0.000
5.043 2.945 3.771
5.965 2.474 0.000
10.547 5.183 3.771
1.541 2.884 1.938
3.963 0.174 5.708
7.045 5.244 1.938
9.467 2.535 5.708
1.621 2.917 5.614
3.883 0.207 1.844
7.125 5.211 5.614
9.387 2.502 1.844
0.288 1.467 5.379
0.302 1.456 2.164
1.355 3.548 3.748
1.585 2.473 0.020
2.287 4.700 1.451
2.338 4.745 6.084
3.166 2.036 2.313
3.217 1.991 5.222
3.919 5.182 3.790
4.149 0.838 7.519
5.202 4.166 5.935
5.216 4.176 1.609
5.792 1.242 5.379
5.806 1.253 2.164
6.859 4.580 3.748
7.089 0.236 0.020
7.791 3.427 1.451
7.842 3.383 6.084
8.670 0.674 2.313
8.721 0.718 5.222
9.423 2.945 3.790
9.653 1.871 7.519
10.706 3.962 5.935
10.720 3.951 1.609

# 8
LaNb2Os2 PBEsol optimized geometry; formation energy = -15 kJ/mol of atoms; raw total energy = -104.353 eV for the cell shown; SG = I4/mmm, No. 139; volume = 103 Å³/f.u.
1.0
4.412 0.000 0.000
0.000 4.412 0.000
0.000 0.000 10.623
La Nb Os
2 4 4
Cartesian
0.000 0.000 0.000
2.206 2.206 5.312
0.000 2.206 2.656
0.000 2.206 7.967
2.206 0.000 2.656
2.206 0.000 7.967
0.000 0.000 4.030
0.000 0.000 6.594
2.206 2.206 1.282
2.206 2.206 9.341

# 9
LaNbRe2P PBEsol optimized geometry; formation energy = 102 kJ/mol of atoms; raw total energy = -43.339 eV for the cell shown; SG = P4/mmm, No. 123; volume = 110 Å³/f.u.
1.0
4.818 0.000 0.000
0.000 4.818 0.000
0.000 0.000 4.753
La Nb Re P
1 1 2 1
Cartesian
0.000 0.000 0.000
2.409 2.409 2.377
0.000 2.409 2.377
2.409 0.000 2.377
2.409 2.409 0.000

# 10
LaNbP2Ru PBEsol optimized geometry; formation energy = 165 kJ/mol of atoms; raw total energy = -29.378 eV for the cell shown; SG = P4/mmm, No. 123; volume = 120 Å³/f.u.
1.0
5.095 0.000 0.000
0.000 5.095 0.000
0.000 0.000 4.615
La Nb P Ru
1 1 2 1
Cartesian
0.000 0.000 0.000
2.548 2.548 2.307
0.000 2.548 0.000
2.548 0.000 0.000
0.000 0.000 2.307

# 11
LaNb2Pb2 PBEsol optimized geometry; formation energy = -5 kJ/mol of atoms; raw total energy = -70.496 eV for the cell shown; SG = I4/mmm, No. 139; volume = 122 Å³/f.u.
1.0
4.224 0.000 0.000
0.000 4.224 0.000
0.000 0.000 13.683
La Nb Pb
2 4 4
Cartesian
0.000 0.000 0.000
2.112 2.112 6.842
0.000 2.112 3.421
0.000 2.112 10.262
2.112 0.000 3.421
2.112 0.000 10.262
0.000 0.000 5.363
0.000 0.000 8.320
2.112 2.112 1.478
2.112 2.112 12.205

# 12
LaNbPd3 PBEsol optimized geometry; formation energy = 110 kJ/mol of atoms; raw total energy = -28.341 eV for the cell shown; SG = Pm-3m, No. 221; volume = 122 Å³/f.u.
1.0
4.965 0.000 0.000
0.000 4.965 0.000
0.000 0.000 4.965
La Nb Pd
1 1 3
Cartesian
0.000 0.000 0.000
2.483 2.483 2.483
0.000 0.000 2.483
0.000 2.483 0.000
2.483 0.000 0.000